Entry 1:
CaYFe2: optimized geometry, GGA-PBE.

POSCAR file:
```
CaYFe2
1.0
-1.7428 2.2874 5.3728
1.7428 -2.2874 5.3728
1.7428 2.2874 -5.3728
Ca Y Fe
1 1 2
direct
0.0000 0.0000 0.0000
0.7236 0.2236 0.5000
0.2736 0.7736 0.5000
0.4146 0.4146 0.0000
```

Output
D(E_F)   3.1 states/eV/cell
Energy of formation   0.243 eV per atom
Magnetic moment   3.8 μB per formula unit

***

Entry 2:
Zn2Co2Ni: optimized geometry, GGA-PBE.

POSCAR file:
```
Zn2Co2Ni
1.0
6.9330 0.0000 0.0000
0.0000 6.9330 0.0000
0.0000 0.0000 2.6345
Zn Co Ni
4 4 2
direct
0.1819 0.3181 0.0000
0.3181 0.8181 0.0000
0.6819 0.1819 0.0000
0.8181 0.6819 0.0000
0.1150 0.6150 0.5000
0.3850 0.1150 0.5000
0.6150 0.8850 0.5000
0.8850 0.3850 0.5000
0.0000 0.0000 0.5000
0.5000 0.5000 0.5000
```

Output
D(E_F)   10.9 states/eV/cell
Energy of formation   0.206 eV per atom
Magnetic moment   2.6 μB per formula unit
Excess energy over the best structure of this formula in the dataset   0.000 kcal/mol of atoms

***

Entry 3:
VCdAu: optimized geometry, GGA-PBE.

POSCAR file:
```
VCdAu
1.0
4.1842 -2.3415 0.0000
4.1842 2.3415 0.0000
-1.5839 0.0000 5.5643
V Cd Au
2 2 2
direct
0.0000 0.0000 0.0000
0.2178 0.2178 0.2205
0.2949 0.2949 0.7451
0.5819 0.5819 0.4140
0.6595 0.6595 0.9468
0.9207 0.9207 0.4604
```

Output
D(E_F)   2.9 states/eV/cell
Energy of formation   0.127 eV per atom
Magnetic moment   0.0 μB per formula unit
Excess energy over the best structure of this formula in the dataset   3.436 kcal/mol of atoms